# InCu3PdS4 | the Open Quantum Materials Database | GGA-PBE | relaxed
# Crystal system: cubic
# Energy, eV per atom: -4.1209
# SG: P-43m
data_InCu3PdS4
_space_group_name_H-M_alt 'P 1'
_space_group_IT_number 1
_space_group_name_Hall 'P 1'
_cell_length_a 5.606
_cell_length_b 5.606
_cell_length_c 5.606
_cell_angle_alpha 90.00
_cell_angle_beta 90.00
_cell_angle_gamma 90.00
loop_
_atom_site_label
_atom_site_fract_x
_atom_site_fract_y
_atom_site_fract_z
_atom_site_occupancy
S1 0.255 0.255 0.255 1
S2 0.745 0.255 0.745 1
S3 0.745 0.745 0.255 1
In1 0.000 0.000 0.000 1
S4 0.255 0.745 0.745 1
Cu1 0.000 0.500 0.500 1
Cu2 0.500 0.000 0.500 1
Pd1 0.500 0.500 0.500 1
Cu3 0.500 0.500 0.000 1

# InCuPdSeS2 | the Open Quantum Materials Database | GGA-PBE | relaxed
# Crystal system: orthorhombic
# Energy, eV per atom: -4.0644
# SG: Cmcm
data_InCuPdSeS2
_space_group_name_H-M_alt 'P 1'
_space_group_IT_number 1
_space_group_name_Hall 'P 1'
_cell_length_a 6.833
_cell_length_b 6.833
_cell_length_c 9.282
_cell_angle_alpha 90.00
_cell_angle_beta 90.00
_cell_angle_gamma 148.67
loop_
_atom_site_label
_atom_site_fract_x
_atom_site_fract_y
_atom_site_fract_z
_atom_site_occupancy
In1 0.229 0.771 0.250 1
Se1 0.906 0.094 0.250 1
Cu1 0.476 0.524 0.750 1
In2 0.771 0.229 0.750 1
Se2 0.094 0.906 0.750 1
Pd1 0.000 0.000 0.000 1
S1 0.365 0.635 0.941 1
S2 0.635 0.365 0.441 1
Pd2 0.000 0.000 0.500 1
S3 0.635 0.365 0.059 1
S4 0.365 0.635 0.559 1
Cu2 0.524 0.476 0.250 1

Question: What is the energy in the second record?
Answer: -4.0644 eV per atom